Entry from Alexandria: MoAsRuSe2 at its PBEsol-relaxed geometry (meta-GGA SCAN).

abc: 4.517 4.855 4.855
angles: 90.00 90.00 90.00
Site moments in Bohr magnetons follow the coordinates.
Fractional coordinates of all 5 atoms:
Se (0.000, 0.500, 0.000)  -0.27
Se (0.000, 0.000, 0.500)  -0.27
As (0.500, 0.000, 0.000)  -0.17
Ru (0.000, 0.000, 0.000)  -0.46
Mo (0.500, 0.500, 0.500)  3.70

Properties
The calculation puts the density of states at the Fermi level at 3.31 states/eV per cell. For the uncorrected formation energy, the calculation gives 881 meV/atom. Its total magnetic moment is 2.63 μB/cell.